Record 1
Li4Pu3MnN8 after structural relaxation, computed with PBE.

Output
- E_form (uncorrected): -0.68 eV per atom
- Magnetization: 11.0 μB/f.u.

CIF file:
```
data_Li4Pu3MnN8
_chemical_formula_sum 'Li12 Pu9 Mn3 N24'
_space_group_name_H-M_alt 'R -3 m'
_space_group_IT_number 166
_space_group_name_Hall '-R 3 2"'
_cell_length_a 6.5932
_cell_length_b 6.5932
_cell_length_c 15.0601
_cell_angle_alpha 90.00
_cell_angle_beta 90.00
_cell_angle_gamma 120.00
loop_
_atom_site_label
_atom_site_type_symbol
_atom_site_fract_x
_atom_site_fract_y
_atom_site_fract_z
Li1 Li 0.0000 0.0000 0.0000
Li2 Li 0.0000 0.5000 0.0000
Pu1 Pu 0.0000 0.5000 0.5000
Mn1 Mn 0.0000 0.0000 0.5000
N1 N 0.0000 0.0000 0.2386
N2 N 0.0062 0.5031 0.2366
```

---

Record 2
Li2MnReN4 after structural relaxation, computed with PBE.

Output
- E_form (uncorrected): -0.34 eV per atom
- Magnetization: 4.0 μB/f.u.

CIF file:
```
data_Li2MnReN4
_chemical_formula_sum 'Li4 Mn2 Re2 N8'
_space_group_name_H-M_alt 'P m n 21'
_space_group_IT_number 31
_cell_length_a 6.4512
_cell_length_b 5.7769
_cell_length_c 5.2148
_cell_angle_alpha 90.00
_cell_angle_beta 90.00
_cell_angle_gamma 90.00
loop_
_space_group_symop_operation_xyz
'x,y,z'
'-x+1/2,-y,z+1/2'
'-x,y,z'
'x+1/2,-y,z+1/2'
loop_
_atom_site_label
_atom_site_type_symbol
_atom_site_fract_x
_atom_site_fract_y
_atom_site_fract_z
Li1 Li 0.2482 0.1672 0.0000
Mn1 Mn 0.0000 0.6737 0.0064
Re1 Re 0.0000 0.3419 0.5084
N1 N 0.0000 0.3679 0.8579
N2 N 0.0000 0.6354 0.3698
N3 N 0.2386 0.1862 0.4127
```

---

Record 3
Li4MnRe3N8 after structural relaxation, computed with PBE.

Output
- E_form (uncorrected): -0.24 eV per atom
- Magnetization: 1.3 μB/f.u.

CIF file:
```
data_Li4MnRe3N8
_chemical_formula_sum 'Li12 Mn3 Re9 N24'
_space_group_name_H-M_alt 'R -3 m'
_space_group_IT_number 166
_space_group_name_Hall '-R 3 2"'
_cell_length_a 5.7892
_cell_length_b 5.7892
_cell_length_c 15.5975
_cell_angle_alpha 90.00
_cell_angle_beta 90.00
_cell_angle_gamma 120.00
loop_
_atom_site_label
_atom_site_type_symbol
_atom_site_fract_x
_atom_site_fract_y
_atom_site_fract_z
Li1 Li 0.0000 0.0000 0.0000
Li2 Li 0.0000 0.5000 0.0000
Mn1 Mn 0.0000 0.0000 0.5000
Re1 Re 0.0000 0.5000 0.5000
N1 N 0.0000 0.0000 0.2454
N2 N 0.0039 0.5020 0.2422
```

---

Record 4
LiMnRh2N after structural relaxation, computed with PBE.

Output
- E_form (uncorrected): -0.13 eV per atom
- Magnetization: 3.5 μB/f.u.

CIF file:
```
data_LiMnRh2N
_chemical_formula_sum 'Li1 Mn1 Rh2 N1'
_space_group_name_H-M_alt 'P 4/m m m'
_space_group_IT_number 123
_space_group_name_Hall '-P 4 2'
_cell_length_a 4.0723
_cell_length_b 4.0723
_cell_length_c 3.8600
_cell_angle_alpha 90.00
_cell_angle_beta 90.00
_cell_angle_gamma 90.00
loop_
_atom_site_label
_atom_site_type_symbol
_atom_site_fract_x
_atom_site_fract_y
_atom_site_fract_z
Li1 Li 0.0000 0.0000 0.0000
Mn1 Mn 0.5000 0.5000 0.0000
Rh1 Rh 0.0000 0.5000 0.5000
N1 N 0.5000 0.5000 0.5000
```

---

Record 5
LiMn2RhN after structural relaxation, computed with PBE.

Output
- E_form (uncorrected): -0.21 eV per atom
- Magnetization: 5.7 μB/f.u.

CIF file:
```
data_LiMn2RhN
_chemical_formula_sum 'Li1 Mn2 Rh1 N1'
_space_group_name_H-M_alt 'P 4/m m m'
_space_group_IT_number 123
_space_group_name_Hall '-P 4 2'
_cell_length_a 3.8246
_cell_length_b 3.8246
_cell_length_c 3.8898
_cell_angle_alpha 90.00
_cell_angle_beta 90.00
_cell_angle_gamma 90.00
loop_
_atom_site_label
_atom_site_type_symbol
_atom_site_fract_x
_atom_site_fract_y
_atom_site_fract_z
Li1 Li 0.0000 0.0000 0.0000
Mn1 Mn 0.0000 0.5000 0.5000
Rh1 Rh 0.5000 0.5000 0.0000
N1 N 0.0000 0.0000 0.5000
```

---

Record 6
LiMnSN2 after structural relaxation, computed with PBE.

Output
- E_form (uncorrected): 1.38 eV per atom
- ΔE to the lowest computed polymorph: 1186 meV/atom
- Magnetization: 1.9 μB/f.u.

CIF file:
```
data_LiMnSN2
_chemical_formula_sum 'Li1 Mn1 S1 N2'
_space_group_name_H-M_alt 'P 4/m m m'
_space_group_IT_number 123
_space_group_name_Hall '-P 4 2'
_cell_length_a 3.6316
_cell_length_b 3.6316
_cell_length_c 4.7592
_cell_angle_alpha 90.00
_cell_angle_beta 90.00
_cell_angle_gamma 90.00
loop_
_atom_site_label
_atom_site_type_symbol
_atom_site_fract_x
_atom_site_fract_y
_atom_site_fract_z
Li1 Li 0.0000 0.0000 0.0000
Mn1 Mn 0.5000 0.5000 0.5000
S1 S 0.0000 0.0000 0.5000
N1 N 0.0000 0.5000 0.0000
```

---

The raw total energy results, record by record, are as follows: -8.586, -7.679, -7.793, -6.954, -7.397, -4.990 eV per atom.
The theoretical density results, record by record, are as follows: 8.1, 5.3, 8.3, 7.3, 6.8, 3.2 g/cm³.